Compound: LiReNi2
Source: Alexandria
Functional: PBE-GGA
Structure: relaxed

a b c (Å): 8.963 2.543 4.454
angles (deg): 90.00 102.65 90.00
Space group Cm (No. 8)
Unique sites:
Li 0.000 0.000 0.000
Re 0.284 0.500 0.367
Ni 0.028 0.500 0.513
Ni 0.244 0.000 0.855

Summary:
Calculated formation energy (meV per atom): 32.8
Excess energy over the best structure of this formula in the dataset (meV/atom): 27
Fermi-level density of states (states/eV/atom): 0.864
ρ (g/cm³): 10.41